# 1
{
  "formula": "Zn2CuSbSe4",
  "functional": "PBE",
  "state": "optimized geometry",
  "space_group": "No. 42",
  "dft_energy_ev_per_atom": -3.455,
  "e_form_raw_ev_per_atom": -0.37,
  "magnetic_moment_mub_per_cell": 0.00,
  "lattice": [[0.000, 4.173, 5.919], [4.170, 0.000, 5.919], [4.170, 4.173, 0.000]],
  "species": ["Zn", "Zn", "Cu", "Sb", "Se", "Se", "Se", "Se"],
  "fractional_positions": [[0.000, 0.000, 0.500], [0.500, 0.500, 0.000], [0.250, 0.250, 0.750], [0.750, 0.750, 0.250], [0.160, 0.606, 0.840], [0.339, 0.895, 0.105], [0.606, 0.160, 0.394], [0.895, 0.339, 0.661]]
}

# 2
{
  "formula": "Zr2CuSbSe",
  "functional": "PBE",
  "state": "optimized geometry",
  "space_group": "No. 123",
  "dft_energy_ev_per_atom": -4.726,
  "e_form_raw_ev_per_atom": 1.03,
  "magnetic_moment_mub_per_cell": 1.04,
  "lattice": [[5.388, 0.000, 0.000], [0.000, 5.388, 0.000], [0.000, 0.000, 5.267]],
  "species": ["Zr", "Zr", "Cu", "Sb", "Se"],
  "fractional_positions": [[0.000, 0.500, 0.000], [0.500, 0.000, 0.000], [0.000, 0.000, 0.500], [0.500, 0.500, 0.000], [0.500, 0.500, 0.500]]
}

# 3
{
  "formula": "CuSiSb",
  "functional": "PBE",
  "state": "optimized geometry",
  "space_group": "No. 156",
  "dft_energy_ev_per_atom": -4.280,
  "e_above_lowest_polymorph_ev_per_atom": 0.005,
  "e_form_raw_ev_per_atom": 0.27,
  "magnetic_moment_mub_per_cell": 0.00,
  "lattice": [[4.003, 0.000, 0.000], [-2.001, 3.466, 0.000], [0.000, 0.000, 4.173]],
  "species": ["Cu", "Si", "Sb"],
  "fractional_positions": [[0.000, 0.000, 0.000], [0.333, 0.667, 0.859], [0.667, 0.333, 0.351]]
}

# 4
{
  "formula": "Cu2Si2Sb",
  "functional": "PBE",
  "state": "optimized geometry",
  "space_group": "No. 127",
  "dft_energy_ev_per_atom": -4.274,
  "e_above_lowest_polymorph_ev_per_atom": 0.172,
  "e_form_raw_ev_per_atom": 0.36,
  "magnetic_moment_mub_per_cell": 0.00,
  "lattice": [[7.808, 0.000, 0.000], [0.000, 7.808, 0.000], [0.000, 0.000, 2.680]],
  "species": ["Cu", "Cu", "Cu", "Cu", "Si", "Si", "Si", "Si", "Sb", "Sb"],
  "fractional_positions": [[0.169, 0.331, 0.000], [0.331, 0.831, 0.000], [0.669, 0.169, 0.000], [0.831, 0.669, 0.000], [0.121, 0.621, 0.500], [0.379, 0.121, 0.500], [0.621, 0.879, 0.500], [0.879, 0.379, 0.500], [0.000, 0.000, 0.500], [0.500, 0.500, 0.500]]
}